Density functional theory data (GGA-PBE) for a relaxed Ta2BeTl crystal.

Lattice parameters (Å, degrees): 2.9363 3.9921 5.9208 90.00 90.00 90.00
Fractional coordinates of all 4 atoms:
Ta  0.0000  0.0000  0.2237
Ta  0.0000  0.0000  0.7763
Be  0.5000  0.5000  0.0000
Tl  0.5000  0.5000  0.5000

Relative energy among the computed polymorphs = 0.1677 eV per atom
Calculated density = 13764 kg/m3
Symmetry = No. 47